Record 1
# ThPtSe2, relaxed, DFT GGA-PBE
# SG: R-3m
# Formation energy (no corrections): -262 meV per atom
# Total energy: -21.5 eV for the cell shown
data_ThPtSe2
_cell_length_a 3.7140
_cell_length_b 3.7140
_cell_length_c 8.9381
_cell_angle_alpha 78.01
_cell_angle_beta 78.01
_cell_angle_gamma 60.00
_symmetry_space_group_name_H-M 'P 1'
_symmetry_Int_Tables_number 1
_symmetry_space_group_name_Hall 'P 1'
loop_
_atom_site_label
_atom_site_fract_x
_atom_site_fract_y
_atom_site_fract_z
Pt1 0.5000 0.5000 0.5000
Se1 0.8864 0.8864 0.3408
Th1 0.0000 0.0000 0.0000
Se2 0.1136 0.1136 0.6592


Record 2
# AlRe2Os, relaxed, DFT GGA-PBE
# SG: C2/m
# Formation energy: -18 meV/atom
# Total energy: -39.9 eV for the cell shown
data_AlRe2Os
_cell_length_a 4.8479
_cell_length_b 4.8479
_cell_length_c 4.5912
_cell_angle_alpha 79.65
_cell_angle_beta 79.65
_cell_angle_gamma 33.65
_symmetry_space_group_name_H-M 'P 1'
_symmetry_Int_Tables_number 1
_symmetry_space_group_name_Hall 'P 1'
loop_
_atom_site_label
_atom_site_fract_x
_atom_site_fract_y
_atom_site_fract_z
Os1 0.2500 0.2500 0.2500
Re1 0.9942 0.9942 0.0039
Al1 0.7500 0.7500 0.7500
Re2 0.5058 0.5058 0.4961


> Look up the total energy of the first one.

-21.5 eV for the cell shown


> Among the records above, which one has the lowest total energy?

AlRe2Os


> Which of these has the lowest total energy?

AlRe2Os